(1)
# Fe3RhW (PBE, optimized geometry)
data_Fe3RhW
_chemical_formula_sum 'Fe3 Rh1 W1'
_cell_length_a 4.414
_cell_length_b 4.414
_cell_length_c 4.414
_cell_angle_alpha 90.00
_cell_angle_beta 90.00
_cell_angle_gamma 90.00
_symmetry_space_group_name_H-M 'P m -3 m'
_symmetry_Int_Tables_number 221
_symmetry_space_group_name_Hall '-P 4 2 3'
loop_
_atom_site_label
_atom_site_type_symbol
_atom_site_fract_x
_atom_site_fract_y
_atom_site_fract_z
_atom_site_occupancy
Fe1 Fe 0.000 0.000 0.500 1
Rh1 Rh 0.500 0.500 0.500 1
W1 W 0.000 0.000 0.000 1
# offset from the most stable computed form: 0 meV/atom
# ΔH_f (0 K): 1.62 eV per atom
# VASP energy: -7.5225 eV/atom
# crystal system: cubic

(2)
# Dy12Er6Al (PBE, optimized geometry)
data_Dy12Er6Al
_chemical_formula_sum 'Dy36 Er18 Al3'
_cell_length_a 11.7256
_cell_length_b 11.7256
_cell_length_c 14.8273
_cell_angle_alpha 90.00
_cell_angle_beta 90.00
_cell_angle_gamma 120.00
_symmetry_space_group_name_H-M 'R -3'
_symmetry_Int_Tables_number 148
_symmetry_space_group_name_Hall '-R 3'
loop_
_atom_site_label
_atom_site_type_symbol
_atom_site_fract_x
_atom_site_fract_y
_atom_site_fract_z
_atom_site_occupancy
Dy1 Dy 0.0068 0.8301 0.3154 1
Dy2 Dy 0.0471 0.1974 0.9146 1
Er1 Er 0.0243 0.5926 0.1894 1
Al1 Al 0.0000 0.0000 0.5000 1
# ΔH_f (0 K): 0.09 eV per atom
# VASP energy: -4.4530 eV/atom
# crystal system: trigonal

(3)
# Cd2CuNi (PBE, optimized geometry)
data_Cd2CuNi
_chemical_formula_sum 'Cd6 Cu3 Ni3'
_cell_length_a 2.9285
_cell_length_b 2.9285
_cell_length_c 26.2392
_cell_angle_alpha 90.00
_cell_angle_beta 90.00
_cell_angle_gamma 120.00
_symmetry_space_group_name_H-M 'R 3 m'
_symmetry_Int_Tables_number 160
_symmetry_space_group_name_Hall 'R 3 -2"'
loop_
_atom_site_label
_atom_site_type_symbol
_atom_site_fract_x
_atom_site_fract_y
_atom_site_fract_z
_atom_site_occupancy
Cd1 Cd 0.0000 0.0000 0.0000 1
Cd2 Cd 0.0000 0.0000 0.1711 1
Cu1 Cu 0.0000 0.0000 0.7522 1
Ni1 Ni 0.0000 0.0000 0.5854 1
# offset from the most stable computed form: 114 meV/atom
# ΔH_f (0 K): 0.18 eV per atom
# VASP energy: -2.7509 eV/atom
# crystal system: trigonal

(4)
# Al2InS4 (PBE, optimized geometry)
data_Al2InS4
_chemical_formula_sum 'Al8 In4 S16'
_cell_length_a 9.117
_cell_length_b 9.117
_cell_length_c 7.503
_cell_angle_alpha 90.00
_cell_angle_beta 90.00
_cell_angle_gamma 90.00
_symmetry_space_group_name_H-M 'I -4 2 d'
_symmetry_Int_Tables_number 122
_symmetry_space_group_name_Hall 'I -4 2bw'
loop_
_atom_site_label
_atom_site_type_symbol
_atom_site_fract_x
_atom_site_fract_y
_atom_site_fract_z
_atom_site_occupancy
Al1 Al 0.077 0.250 0.125 1
In1 In 0.000 0.000 0.500 1
S1 S 0.040 0.715 0.392 1
# offset from the most stable computed form: 15 meV/atom
# VASP energy: -4.5964 eV/atom
# E_form (uncorrected): -0.78 eV/atom
# crystal system: tetragonal

(5)
# Zr2ZnRe (PBE, optimized geometry)
data_Zr2ZnRe
_chemical_formula_sum 'Zr4 Zn2 Re2'
_cell_length_a 3.317
_cell_length_b 4.748
_cell_length_c 9.443
_cell_angle_alpha 90.00
_cell_angle_beta 90.00
_cell_angle_gamma 90.00
_symmetry_space_group_name_H-M 'C m m 2'
_symmetry_Int_Tables_number 35
_symmetry_space_group_name_Hall 'C 2 -2'
loop_
_atom_site_label
_atom_site_type_symbol
_atom_site_fract_x
_atom_site_fract_y
_atom_site_fract_z
_atom_site_occupancy
Zr1 Zr 0.000 0.000 0.000 1
Zr2 Zr 0.000 0.500 0.294 1
Zn1 Zn 0.000 0.000 0.549 1
Re1 Re 0.000 0.500 0.768 1
# ΔH_f (0 K): 0.14 eV per atom
# VASP energy: -7.5667 eV/atom
# crystal system: orthorhombic

(6)
# Pm2Sm4Sb3N2 (PBE, optimized geometry)
data_Pm2Sm4Sb3N2
_chemical_formula_sum 'Pm4 Sm8 Sb6 N4'
_cell_length_a 4.757
_cell_length_b 4.757
_cell_length_c 25.807
_cell_angle_alpha 90.00
_cell_angle_beta 90.00
_cell_angle_gamma 90.00
_symmetry_space_group_name_H-M 'I 4/m m m'
_symmetry_Int_Tables_number 139
_symmetry_space_group_name_Hall '-I 4 2'
loop_
_atom_site_label
_atom_site_type_symbol
_atom_site_fract_x
_atom_site_fract_y
_atom_site_fract_z
_atom_site_occupancy
Pm1 Pm 0.000 0.000 0.193 1
Sm1 Sm 0.000 0.500 0.083 1
Sb1 Sb 0.000 0.000 0.322 1
Sb2 Sb 0.000 0.000 0.500 1
N1 N 0.000 0.000 0.103 1
# VASP energy: -6.3828 eV/atom
# E_form (uncorrected): -1.16 eV/atom
# crystal system: tetragonal

Number 1: size of the total moment 5.5 μB per formula unit. Number 2: size of the total moment 0.0 μB per formula unit. Number 3: size of the total moment 0.0 μB per formula unit. Number 4: size of the total moment 0.0 μB per formula unit. Number 5: size of the total moment 0.0 μB per formula unit. Number 6: size of the total moment 0.0 μB per formula unit.